No. 1
## HfCdCu (GGA-PBE)

Data for an optimized crystal structure of HfCdCu.

POSCAR file:
```
HfCdCu
1.0
3.315 0.000 0.000
0.000 3.315 0.000
0.000 0.000 9.696
Cd Hf Cu
2 2 2
Direct
0.000 0.500 0.090
0.500 0.000 0.910
0.500 0.000 0.289
0.000 0.500 0.711
0.000 0.500 0.437
0.500 0.000 0.563
```

Results
The energy relative to the elements comes out at 0.02 eV per atom.

=====

No. 2
## HfCdCu (GGA-PBE)

Data for an optimized crystal structure of HfCdCu.

POSCAR file:
```
HfCdCu
1.0
-1.646 1.646 4.869
1.646 -1.646 4.869
1.646 1.646 -4.869
Cd Hf Cu
1 1 1
Direct
0.681 0.681 0.000
0.989 0.989 0.000
0.330 0.330 0.000
```

Results
The energy relative to the elements comes out at 0.07 eV per atom.

=====

No. 3
## HfCdCu2 (GGA-PBE)

Data for an optimized crystal structure of HfCdCu2.

POSCAR file:
```
HfCdCu2
1.0
-2.759 -3.353 -1.148
4.853 -4.046 0.155
-2.452 -2.441 13.015
Cu Hf Cd
12 6 6
Direct
0.500 0.250 0.000
0.500 0.250 0.667
0.500 0.750 0.000
0.500 0.250 0.333
0.500 0.750 0.667
0.500 0.750 0.333
0.000 0.750 0.833
0.000 0.250 0.833
0.000 0.750 0.500
0.000 0.250 0.167
0.000 0.250 0.500
0.000 0.750 0.167
0.500 0.000 0.167
0.500 0.000 0.833
0.500 0.000 0.500
0.000 0.500 0.000
0.000 0.500 0.333
0.000 0.500 0.667
0.500 0.500 0.167
0.500 0.500 0.833
0.000 0.000 0.333
0.000 0.000 0.667
0.500 0.500 0.500
0.000 0.000 0.000
```

Results
The energy relative to the elements comes out at -0.11 eV per atom.

=====

No. 4
## HfCdCuPb (GGA-PBE)

Data for an optimized crystal structure of HfCdCuPb.

POSCAR file:
```
HfCdCuPb
1.0
0.000 3.485 3.485
3.485 0.000 3.485
3.485 3.485 0.000
Hf Cd Pb Cu
1 1 1 1
Direct
0.500 0.500 0.500
0.250 0.250 0.250
0.000 0.000 0.000
0.750 0.750 0.750
```

Results
The energy above the most stable polymorph in this dataset is 0.10 eV/f.u.

=====

Number 1: VASP energy -4.836 eV/atom, M_tot 0.040 μB per formula unit. Number 2: VASP energy -4.786 eV/atom, M_tot 0.001 μB per formula unit. Number 3: VASP energy -4.679 eV/atom, M_tot 0.001 μB per formula unit. Number 4: VASP energy -4.213 eV/atom, M_tot 0.011 μB per formula unit.